Below is crystalline TcAu5 at its relaxed geometry, with properties calculated at the PBE-GGA level.

Polymorph energy (0 for the lowest one) = 260 meV per atom
E_form = 494 meV per atom
Total DFT energy (no corrections) = -23.8 eV for the cell shown

a b c (Å): 5.4622 5.4622 5.4622
angles (deg): 60.00 60.00 60.00
With the nearest neighbours (Å) after each atom.
Fractional coordinates of all 6 atoms:
Au (0.3750, 0.3750, 0.8749)  6 Au 2.73
Au (0.3750, 0.8749, 0.3750)  6 Au 2.73
Tc (0.0000, 0.0000, 0.0000)  16 Au 3.20-3.34
Au (0.8749, 0.3750, 0.3750)  6 Au 2.73
Au (0.3750, 0.3750, 0.3750)  6 Au 2.73
Au (0.7500, 0.7500, 0.7500)  12 Au 3.20, 4 Tc 3.34

***

Below is crystalline TcAu5 at its relaxed geometry, with properties calculated at the PBE-GGA level.

Polymorph energy (0 for the lowest one) = 322 meV per atom
E_form = 555 meV per atom
Total DFT energy (no corrections) = -23.4 eV for the cell shown

a b c (Å): 5.4260 5.4260 4.7819
angles (deg): 90.00 90.00 120.00
With the nearest neighbours (Å) after each atom.
Fractional coordinates of all 6 atoms:
Tc (0.0000, 0.0000, 0.0000)  6 Au 3.13
Au (0.3333, 0.6667, 0.0000)  9 Au 2.86-3.13, 3 Tc 3.13
Au (0.0000, 0.5000, 0.5000)  8 Au 2.71-2.86
Au (0.5000, 0.0000, 0.5000)  8 Au 2.71-2.86
Au (0.5000, 0.5000, 0.5000)  8 Au 2.71-2.86
Au (0.6667, 0.3333, 0.0000)  9 Au 2.86-3.13, 3 Tc 3.13

***

Below is crystalline Tc3Au at its relaxed geometry, with properties calculated at the PBE-GGA level.

E_form = 518 meV per atom
Total DFT energy (no corrections) = -32.3 eV for the cell shown

a b c (Å): 5.2740 5.2740 5.2740
angles (deg): 117.26 117.26 117.26
With the nearest neighbours (Å) after each atom.
Fractional coordinates of all 4 atoms:
Tc (0.0000, 0.5000, 0.5000)  6 Tc 2.65-2.75, 2 Au 2.75
Tc (0.5000, 0.5000, 0.0000)  6 Tc 2.65-2.75, 2 Au 2.75
Au (0.0000, 0.0000, 0.0000)  2 Au 2.65, 6 Tc 2.75
Tc (0.5000, 0.0000, 0.5000)  6 Tc 2.65-2.75, 2 Au 2.75

***

Below is crystalline Tc3Au at its relaxed geometry, with properties calculated at the PBE-GGA level.

E_form = 3102 meV per atom
Total DFT energy (no corrections) = -22.0 eV for the cell shown

a b c (Å): 5.1506 5.1506 5.1506
angles (deg): 90.00 90.00 90.00
With the nearest neighbours (Å) after each atom.
Fractional coordinates of all 4 atoms:
Au (0.0000, 0.0000, 0.0000)  6 Tc 2.58
Tc (0.0000, 0.0000, 0.5000)  2 Au 2.58
Tc (0.5000, 0.0000, 0.0000)  2 Au 2.58
Tc (0.0000, 0.5000, 0.0000)  2 Au 2.58

***

Below is crystalline Tc3Au at its relaxed geometry, with properties calculated at the PBE-GGA level.

E_form = 282 meV per atom
Total DFT energy (no corrections) = -33.2 eV for the cell shown

a b c (Å): 4.7980 4.7980 2.8075
angles (deg): 90.00 90.00 109.73
With the nearest neighbours (Å) after each atom.
Fractional coordinates of all 4 atoms:
Tc (0.5000, 0.5000, 0.0000)  2 Au 2.76, 10 Tc 2.78-2.81
Tc (0.5000, 0.0000, 0.5000)  8 Tc 2.76-2.81, 4 Au 2.78
Tc (0.0000, 0.5000, 0.5000)  8 Tc 2.76-2.81, 4 Au 2.78
Au (0.0000, 0.0000, 0.0000)  10 Tc 2.76-2.78, 2 Au 2.81

***

Below is crystalline Tc3Au at its relaxed geometry, with properties calculated at the PBE-GGA level.

E_form = 500 meV per atom
Total DFT energy (no corrections) = -32.4 eV for the cell shown

a b c (Å): 4.4418 4.4418 4.4418
angles (deg): 60.00 60.00 60.00
With the nearest neighbours (Å) after each atom.
Fractional coordinates of all 4 atoms:
Tc (0.2500, 0.2500, 0.2500)  4 Au 2.72, 4 Tc 2.72
Au (0.0000, 0.0000, 0.0000)  8 Tc 2.72
Tc (0.7500, 0.7500, 0.7500)  4 Tc 2.72, 4 Au 2.72
Tc (0.5000, 0.5000, 0.5000)  8 Tc 2.72

***

Below is crystalline Tc2Au3 at its relaxed geometry, with properties calculated at the PBE-GGA level.

E_form = 393 meV per atom
Total DFT energy (no corrections) = -28.6 eV for the cell shown

a b c (Å): 11.8867 11.8867 11.8867
angles (deg): 13.74 13.74 13.74
With the nearest neighbours (Å) after each atom.
Fractional coordinates of all 5 atoms:
Au (0.0000, 0.0000, 0.0000)  6 Au 2.84, 6 Tc 2.85
Tc (0.3992, 0.3992, 0.3992)  6 Au 2.83-2.85, 6 Tc 2.84
Tc (0.6008, 0.6008, 0.6008)  6 Au 2.83-2.85, 6 Tc 2.84
Au (0.7977, 0.7977, 0.7977)  3 Tc 2.83, 9 Au 2.84-3.00
Au (0.2023, 0.2023, 0.2023)  3 Tc 2.83, 9 Au 2.84-3.00

***

Below is crystalline Tc3Au at its relaxed geometry, with properties calculated at the PBE-GGA level.

E_form = 186 meV per atom
Total DFT energy (no corrections) = -33.6 eV for the cell shown

a b c (Å): 2.8213 4.4402 4.8456
angles (deg): 90.00 90.00 90.00
With the nearest neighbours (Å) after each atom.
Fractional coordinates of all 4 atoms:
Au (0.0000, 0.0000, 0.0016)  10 Tc 2.76-2.82, 2 Au 2.82
Tc (0.5000, 0.0000, 0.5048)  8 Tc 2.70-2.82, 4 Au 2.79-2.82
Tc (0.0000, 0.5000, 0.3398)  10 Tc 2.72-2.89, 2 Au 2.76
Tc (0.5000, 0.5000, 0.8204)  8 Tc 2.70-2.89, 4 Au 2.77